A plane-wave DFT calculation with PBEsol was carried out for a geometry-optimized Tl2In structure.

Geometry as POSCAR:
```
Tl2In
1.0
0.000 6.997 6.997
6.997 0.000 6.997
6.997 6.997 0.000
Tl In
16 8
direct
0.000 0.000 0.000 Tl
0.000 0.000 0.500 Tl
0.000 0.500 0.000 Tl
0.184 0.184 0.566 Tl
0.184 0.566 0.184 Tl
0.184 0.566 0.566 Tl
0.434 0.434 0.816 Tl
0.434 0.816 0.434 Tl
0.434 0.816 0.816 Tl
0.500 0.000 0.000 Tl
0.566 0.184 0.184 Tl
0.566 0.184 0.566 Tl
0.566 0.566 0.184 Tl
0.816 0.434 0.434 Tl
0.816 0.434 0.816 Tl
0.816 0.816 0.434 Tl
0.147 0.784 0.784 In
0.216 0.216 0.216 In
0.216 0.216 0.853 In
0.216 0.853 0.216 In
0.784 0.147 0.784 In
0.784 0.784 0.147 In
0.784 0.784 0.784 In
0.853 0.216 0.216 In
```

Computed properties:
mass density = 10.15 g/cm3
V = 685 Å³ per cell
E_form = 0.1 eV/f.u.
space group = Fd-3m (227)

=====

A plane-wave DFT calculation with PBEsol was carried out for a geometry-optimized TlIn structure.

Geometry as POSCAR:
```
TlIn
1.0
-1.902 2.649 5.333
1.902 -2.649 5.333
1.902 2.649 -5.333
Tl In
2 2
direct
0.371 0.121 0.250 Tl
0.629 0.879 0.750 Tl
0.120 0.370 0.750 In
0.880 0.630 0.250 In
```

Computed properties:
mass density = 9.86 g/cm3
V = 107 Å³ per cell
E_form = 0.0 eV/f.u.
space group = Imma (74)

=====

A plane-wave DFT calculation with PBEsol was carried out for a geometry-optimized TlIn structure.

Geometry as POSCAR:
```
TlIn
1.0
1.937 -2.584 0.000
1.937 2.584 0.000
0.000 0.000 10.753
Tl In
2 2
direct
0.250 0.750 0.870 Tl
0.750 0.250 0.130 Tl
0.250 0.750 0.380 In
0.750 0.250 0.620 In
```

Computed properties:
mass density = 9.85 g/cm3
V = 108 Å³ per cell
E_form = 0.0 eV/f.u.
space group = Cmme (67)

=====

A plane-wave DFT calculation with PBEsol was carried out for a geometry-optimized Tl5In3 structure.

Geometry as POSCAR:
```
Tl5In3
1.0
-6.060 6.060 3.008
6.060 -6.060 3.008
6.060 6.060 -3.008
Tl In
10 6
direct
0.072 0.771 0.843 Tl
0.229 0.072 0.300 Tl
0.250 0.750 0.500 Tl
0.271 0.572 0.843 Tl
0.428 0.271 0.700 Tl
0.572 0.729 0.300 Tl
0.729 0.428 0.157 Tl
0.750 0.250 0.500 Tl
0.771 0.928 0.700 Tl
0.928 0.229 0.157 Tl
0.173 0.327 0.500 In
0.250 0.250 0.000 In
0.327 0.827 0.153 In
0.673 0.173 0.847 In
0.750 0.750 0.000 In
0.827 0.673 0.500 In
```

Computed properties:
mass density = 10.27 g/cm3
V = 442 Å³ per cell
E_form = 0.3 eV/f.u.
space group = I4/mcm (140)

=====

A plane-wave DFT calculation with PBEsol was carried out for a geometry-optimized TlIn2 structure.

Geometry as POSCAR:
```
TlIn2
1.0
5.156 -2.854 0.000
5.156 2.854 0.000
0.000 0.000 5.390
Tl In
2 4
direct
0.180 0.820 0.750 Tl
0.820 0.180 0.250 Tl
0.157 0.503 0.250 In
0.497 0.843 0.250 In
0.503 0.157 0.750 In
0.843 0.497 0.750 In
```

Computed properties:
mass density = 9.09 g/cm3
V = 159 Å³ per cell
E_form = 0.0 eV/f.u.
space group = Cmcm (63)

=====

A plane-wave DFT calculation with PBEsol was carried out for a geometry-optimized Tl7In structure.

Geometry as POSCAR:
```
Tl7In
1.0
0.000 4.800 4.800
4.800 0.000 4.800
4.800 4.800 0.000
Tl In
7 1
direct
0.000 0.000 0.000 Tl
0.000 0.000 0.500 Tl
0.000 0.500 0.000 Tl
0.000 0.500 0.500 Tl
0.500 0.000 0.000 Tl
0.500 0.000 0.500 Tl
0.500 0.500 0.000 Tl
0.500 0.500 0.500 In
```

Computed properties:
mass density = 11.60 g/cm3
V = 221 Å³ per cell
E_form = 0.1 eV/f.u.
space group = Fm-3m (225)

=====

A plane-wave DFT calculation with PBEsol was carried out for a geometry-optimized TlIn2 structure.

Geometry as POSCAR:
```
TlIn2
1.0
3.344 0.000 0.000
-1.672 2.896 0.000
0.000 0.000 8.123
Tl In
1 2
direct
0.000 0.000 0.000 Tl
0.333 0.667 0.337 In
0.667 0.333 0.663 In
```

Computed properties:
mass density = 9.16 g/cm3
V = 79 Å³ per cell
E_form = 0.0 eV/f.u.
space group = P-3m1 (164)

=====

A plane-wave DFT calculation with PBEsol was carried out for a geometry-optimized TlIn7 structure.

Geometry as POSCAR:
```
TlIn7
1.0
0.000 4.680 4.680
4.680 0.000 4.680
4.680 4.680 0.000
Tl In
1 7
direct
0.000 0.000 0.000 Tl
0.000 0.000 0.500 In
0.000 0.500 0.000 In
0.000 0.500 0.500 In
0.500 0.000 0.000 In
0.500 0.000 0.500 In
0.500 0.500 0.000 In
0.500 0.500 0.500 In
```

Computed properties:
mass density = 8.16 g/cm3
V = 205 Å³ per cell
E_form = 0.1 eV/f.u.
space group = Fm-3m (225)

=====

A plane-wave DFT calculation with PBEsol was carried out for a geometry-optimized TlIn structure.

Geometry as POSCAR:
```
TlIn
1.0
3.722 0.000 0.000
0.000 3.722 0.000
0.000 0.000 7.773
Tl In
2 2
direct
0.250 0.250 0.135 Tl
0.750 0.750 0.865 Tl
0.250 0.250 0.614 In
0.750 0.750 0.386 In
```

Computed properties:
mass density = 9.84 g/cm3
V = 108 Å³ per cell
E_form = 0.0 eV/f.u.
space group = P4/nmm (129)

=====

A plane-wave DFT calculation with PBEsol was carried out for a geometry-optimized Tl2In structure.

Geometry as POSCAR:
```
Tl2In
1.0
5.426 0.000 0.000
-2.713 4.699 0.000
0.000 0.000 3.224
Tl In
2 1
direct
0.333 0.667 0.302 Tl
0.667 0.333 0.698 Tl
0.000 0.000 0.000 In
```

Computed properties:
mass density = 10.58 g/cm3
V = 82 Å³ per cell
E_form = 0.1 eV/f.u.
space group = P-3m1 (164)

=====

A plane-wave DFT calculation with PBEsol was carried out for a geometry-optimized TlIn2 structure.

Geometry as POSCAR:
```
TlIn2
1.0
-1.614 2.482 4.908
1.614 -2.482 4.908
1.614 2.482 -4.908
Tl In
1 2
direct
0.000 0.000 0.000 Tl
0.332 0.332 0.000 In
0.668 0.668 0.000 In
```

Computed properties:
mass density = 9.17 g/cm3
V = 79 Å³ per cell
E_form = 0.0 eV/f.u.
space group = Immm (71)

=====

A plane-wave DFT calculation with PBEsol was carried out for a geometry-optimized TlIn structure.

Geometry as POSCAR:
```
TlIn
1.0
-2.429 2.429 4.514
2.429 -2.429 4.514
2.429 2.429 -4.514
Tl In
2 2
direct
0.375 0.625 0.750 Tl
0.625 0.375 0.250 Tl
0.125 0.875 0.250 In
0.875 0.125 0.750 In
```

Computed properties:
mass density = 9.95 g/cm3
V = 107 Å³ per cell
E_form = 0.0 eV/f.u.
space group = I4_1/amd (141)

=====

A plane-wave DFT calculation with PBEsol was carried out for a geometry-optimized TlIn structure.

Geometry as POSCAR:
```
TlIn
1.0
5.066 0.000 0.000
-2.533 4.387 0.000
0.000 0.000 6.137
Tl In
2 2
direct
0.333 0.667 0.250 Tl
0.667 0.333 0.750 Tl
0.333 0.667 0.750 In
0.667 0.333 0.250 In
```

Computed properties:
mass density = 7.77 g/cm3
V = 136 Å³ per cell
E_form = 0.5 eV/f.u.
space group = P6_3/mmc (194)

=====

A plane-wave DFT calculation with PBEsol was carried out for a geometry-optimized Tl2In structure.

Geometry as POSCAR:
```
Tl2In
1.0
6.218 -1.705 0.000
6.218 1.705 0.000
-1.930 0.000 7.735
Tl In
4 2
direct
0.000 0.000 0.000 Tl
0.052 0.052 0.609 Tl
0.384 0.384 0.279 Tl
0.724 0.724 0.942 Tl
0.327 0.327 0.659 In
0.663 0.663 0.335 In
```

Computed properties:
mass density = 10.60 g/cm3
V = 164 Å³ per cell
E_form = 0.0 eV/f.u.
space group = Cm (8)

=====

A plane-wave DFT calculation with PBEsol was carried out for a geometry-optimized Tl2In structure.

Geometry as POSCAR:
```
Tl2In
1.0
5.543 0.000 0.000
-2.772 4.800 0.000
0.000 0.000 3.136
Tl In
2 1
direct
0.333 0.667 0.000 Tl
0.667 0.333 0.000 Tl
0.000 0.000 0.500 In
```

Computed properties:
mass density = 10.42 g/cm3
V = 83 Å³ per cell
E_form = 0.1 eV/f.u.
space group = P6/mmm (191)

=====

A plane-wave DFT calculation with PBEsol was carried out for a geometry-optimized TlIn structure.

Geometry as POSCAR:
```
TlIn
1.0
3.270 0.000 0.000
0.000 5.232 0.000
-1.585 0.000 6.299
Tl In
2 2
direct
0.171 0.250 0.350 Tl
0.829 0.750 0.650 Tl
0.434 0.250 0.864 In
0.566 0.750 0.136 In
```

Computed properties:
mass density = 9.84 g/cm3
V = 108 Å³ per cell
E_form = 0.0 eV/f.u.
space group = P2_1/m (11)

=====

A plane-wave DFT calculation with PBEsol was carried out for a geometry-optimized TlIn structure.

Geometry as POSCAR:
```
TlIn
1.0
3.415 0.000 0.000
0.000 5.371 0.000
0.000 0.000 5.868
Tl In
2 2
direct
0.250 0.250 0.083 Tl
0.750 0.750 0.917 Tl
0.250 0.750 0.424 In
0.750 0.250 0.576 In
```

Computed properties:
mass density = 9.85 g/cm3
V = 108 Å³ per cell
E_form = 0.0 eV/f.u.
space group = Pmmn (59)

=====

A plane-wave DFT calculation with PBEsol was carried out for a geometry-optimized Tl4In5 structure.

Geometry as POSCAR:
```
Tl4In5
1.0
9.438 0.000 0.000
-4.719 8.173 0.000
0.000 0.000 6.286
Tl In
8 10
direct
0.000 0.000 0.000 Tl
0.000 0.000 0.500 Tl
0.000 0.327 0.250 Tl
0.000 0.673 0.750 Tl
0.327 0.000 0.250 Tl
0.327 0.327 0.750 Tl
0.673 0.000 0.750 Tl
0.673 0.673 0.250 Tl
0.000 0.344 0.750 In
0.000 0.656 0.250 In
0.333 0.667 0.000 In
0.333 0.667 0.500 In
0.344 0.000 0.750 In
0.344 0.344 0.250 In
0.656 0.000 0.250 In
0.656 0.656 0.750 In
0.667 0.333 0.000 In
0.667 0.333 0.500 In
```

Computed properties:
mass density = 9.53 g/cm3
V = 485 Å³ per cell
E_form = 0.3 eV/f.u.
space group = P6_3/mcm (193)

=====

A plane-wave DFT calculation with PBEsol was carried out for a geometry-optimized TlIn structure.

Geometry as POSCAR:
```
TlIn
1.0
3.369 0.000 0.000
-1.685 2.918 0.000
0.000 0.000 10.950
Tl In
2 2
direct
0.333 0.667 0.132 Tl
0.667 0.333 0.868 Tl
0.333 0.667 0.618 In
0.667 0.333 0.382 In
```

Computed properties:
mass density = 9.85 g/cm3
V = 108 Å³ per cell
E_form = 0.0 eV/f.u.
space group = P-3m1 (164)

=====

A plane-wave DFT calculation with PBEsol was carried out for a geometry-optimized TlIn4 structure.

Geometry as POSCAR:
```
TlIn4
1.0
-3.650 3.650 2.421
3.650 -3.650 2.421
3.650 3.650 -2.421
Tl In
1 4
direct
0.000 0.000 0.000 Tl
0.200 0.404 0.604 In
0.404 0.800 0.205 In
0.596 0.200 0.795 In
0.800 0.596 0.396 In
```

Computed properties:
mass density = 8.54 g/cm3
V = 129 Å³ per cell
E_form = 0.0 eV/f.u.
space group = I4/m (87)